1.
{
  "formula": "BaNi2",
  "functional": "PBE",
  "state": "optimized geometry",
  "cell": [[-0.4145, -0.6399, 6.7533], [-4.2094, -5.2815, -0.7588], [5.3196, -4.2291, -0.0743]],
  "species": ["Ni", "Ni", "Ni", "Ni", "Ni", "Ni", "Ni", "Ni", "Ba", "Ba", "Ba", "Ba"],
  "frac_coords": [[0.5948, 0.5948, 0.4052], [0.4052, 0.4052, 0.5948], [0.0948, 0.9052, 0.5948], [0.9052, 0.0948, 0.4052], [0.4052, 0.0948, 0.0948], [0.5948, 0.9052, 0.9052], [0.9052, 0.4052, 0.9052], [0.0948, 0.5948, 0.0948], [0.0000, 0.0000, 0.0000], [0.5000, 0.5000, 0.0000], [0.5000, 0.0000, 0.5000], [0.0000, 0.5000, 0.5000]],
  "dos_at_fermi_per_ev_cell": 23.2,
  "crystal_system": "cubic",
  "energy_ev_per_cell": -42.3,
  "spacegroup": "Pa-3"
}

2.
{
  "formula": "InSbPt2",
  "functional": "PBE",
  "state": "optimized geometry",
  "cell": [[-1.4403, 6.6703, 0.3057], [-5.6608, 3.7662, -0.6568], [3.7467, -4.9977, 2.7651]],
  "species": ["In", "Pt", "Pt", "Sb"],
  "frac_coords": [[0.2921, 0.7921, 0.5000], [0.9437, 0.9437, 0.0000], [0.7234, 0.2234, 0.5000], [0.5409, 0.5409, 0.0000]],
  "raw_formation_energy_ev_per_atom": -0.252,
  "dos_at_fermi_per_ev_cell": 2.1,
  "crystal_system": "orthorhombic",
  "spacegroup": "Imm2"
}

3.
{
  "formula": "Ti2GeIrPb",
  "functional": "PBE",
  "state": "optimized geometry",
  "cell": [[4.7700, 0.0000, 0.0000], [0.0000, 4.6100, 0.0000], [0.0000, 0.0000, 4.7700]],
  "species": ["Pb", "Ge", "Ir", "Ti", "Ti"],
  "frac_coords": [[0.5000, 0.5000, 0.5000], [0.0000, 0.0000, 0.0000], [0.0000, 0.5000, 0.0000], [0.0000, 0.0000, 0.5000], [0.5000, 0.0000, 0.0000]],
  "dos_at_fermi_per_ev_cell": 6.6,
  "crystal_system": "tetragonal",
  "energy_ev_per_cell": -31.2,
  "spacegroup": "P4/mmm"
}

4.
{
  "formula": "Cs3KCr2I9",
  "functional": "PBE",
  "state": "optimized geometry",
  "cell": [[-0.4360, 8.0932, -1.8386], [-6.8045, -4.0666, 2.4966], [2.3748, 2.5372, 10.6052]],
  "species": ["Cs", "Cs", "Cs", "K", "Cr", "Cr", "I", "I", "I", "I", "I", "I", "I", "I", "I"],
  "frac_coords": [[0.3333, 0.6667, 0.7092], [0.0000, 0.0000, 0.0000], [0.6667, 0.3333, 0.2908], [0.0000, 0.0000, 0.5000], [0.3333, 0.6667, 0.1543], [0.6667, 0.3333, 0.8457], [0.8251, 0.1749, 0.7091], [0.8251, 0.6501, 0.7091], [0.3499, 0.1749, 0.7091], [0.6501, 0.8251, 0.2909], [0.1749, 0.3499, 0.2909], [0.1749, 0.8251, 0.2909], [0.5000, 0.0000, 0.0000], [0.0000, 0.5000, 0.0000], [0.5000, 0.5000, 0.0000]],
  "raw_formation_energy_ev_per_atom": -0.943,
  "dos_at_fermi_per_ev_cell": 5.1,
  "crystal_system": "trigonal",
  "spacegroup": "P-3m1"
}

5.
{
  "formula": "LiHo2HPt6",
  "functional": "PBE",
  "state": "optimized geometry",
  "cell": [[6.0242, 0.0664, -0.1680], [0.0661, 6.0180, -0.1632], [2.9289, 2.9288, 4.1494]],
  "species": ["Li", "Ho", "Ho", "H", "Pt", "Pt", "Pt", "Pt", "Pt", "Pt"],
  "frac_coords": [[0.0000, 0.0000, 0.0000], [0.7625, 0.2385, 0.4995], [0.2375, 0.7615, 0.5005], [0.5000, 0.5000, 0.0000], [0.2731, 0.2727, 0.4761], [0.7274, 0.7278, 0.0208], [0.2645, 0.7363, 0.9996], [0.7355, 0.2637, 0.0004], [0.2726, 0.2722, 0.9792], [0.7269, 0.7273, 0.5239]],
  "dos_at_fermi_per_ev_cell": 0.5,
  "crystal_system": "monoclinic",
  "energy_ev_per_cell": -57.8,
  "spacegroup": "C2/m"
}

6.
{
  "formula": "Ac2NdIr2I2",
  "functional": "PBE",
  "state": "optimized geometry",
  "cell": [[5.3455, 0.0000, 0.0000], [0.0000, 5.3455, 0.0000], [-2.6727, -2.6727, 8.6916]],
  "species": ["Ac", "Ac", "Nd", "Ir", "Ir", "I", "I"],
  "frac_coords": [[0.3950, 0.3950, 0.7900], [0.6050, 0.6050, 0.2100], [0.0000, 0.0000, 0.0000], [0.0000, 0.5000, 0.0000], [0.5000, 0.0000, 0.0000], [0.1925, 0.1925, 0.3850], [0.8075, 0.8075, 0.6150]],
  "raw_formation_energy_ev_per_atom": -0.717,
  "dos_at_fermi_per_ev_cell": 4.1,
  "crystal_system": "tetragonal",
  "spacegroup": "I4/mmm"
}

7.
{
  "formula": "Er3B2Rh9Pb",
  "functional": "PBE",
  "state": "optimized geometry",
  "cell": [[5.8198, 0.0000, 0.0000], [-2.9099, 5.0401, 0.0000], [0.0000, 0.0000, 9.2013]],
  "species": ["Er", "Er", "Er", "B", "B", "Rh", "Rh", "Rh", "Rh", "Rh", "Rh", "Rh", "Rh", "Rh", "Pb"],
  "frac_coords": [[0.3333, 0.6667, 0.7272], [0.0000, 0.0000, 0.0000], [0.6667, 0.3333, 0.2728], [0.3333, 0.6667, 0.1434], [0.6667, 0.3333, 0.8566], [0.8404, 0.1596, 0.7435], [0.8404, 0.6808, 0.7435], [0.3192, 0.1596, 0.7435], [0.6808, 0.8404, 0.2565], [0.1596, 0.3192, 0.2565], [0.1596, 0.8404, 0.2565], [0.5000, 0.0000, 0.0000], [0.0000, 0.5000, 0.0000], [0.5000, 0.5000, 0.0000], [0.0000, 0.0000, 0.5000]],
  "dos_at_fermi_per_ev_cell": 15.4,
  "crystal_system": "trigonal",
  "energy_ev_per_cell": -105.2,
  "spacegroup": "P-3m1"
}

8.
{
  "formula": "KZnGa",
  "functional": "PBE",
  "state": "optimized geometry",
  "cell": [[-2.3140, 1.6658, -3.4539], [6.3546, 0.2559, -4.1339], [-2.9569, -5.8783, 2.0498]],
  "species": ["K", "K", "Zn", "Zn", "Ga", "Ga"],
  "frac_coords": [[0.7433, 0.7433, 0.4867], [0.2567, 0.2567, 0.5133], [0.0000, 0.6726, 0.0000], [0.0000, 0.3274, 0.0000], [0.5000, 0.1633, 0.0000], [0.5000, 0.8367, 0.0000]],
  "dos_at_fermi_per_ev_cell": 3.7,
  "crystal_system": "orthorhombic",
  "spacegroup": "Immm",
  "de_polymorph_ev_per_fu": 0.09
}

9.
{
  "formula": "MgRh",
  "functional": "PBE",
  "state": "optimized geometry",
  "cell": [[8.1268, 0.0000, 0.0000], [0.0000, 14.4954, 0.0000], [0.0000, 0.0000, 4.6702]],
  "species": ["Mg", "Mg", "Mg", "Mg", "Mg", "Mg", "Mg", "Mg", "Mg", "Mg", "Mg", "Mg", "Mg", "Mg", "Mg", "Mg", "Rh", "Rh", "Rh", "Rh", "Rh", "Rh", "Rh", "Rh", "Rh", "Rh", "Rh", "Rh", "Rh", "Rh", "Rh", "Rh"],
  "frac_coords": [[0.8357, 0.0000, 0.0000], [0.1643, 0.0000, 0.0000], [0.4143, 0.7500, 0.2500], [0.0857, 0.7500, 0.2500], [0.8357, 0.5000, 0.5000], [0.1643, 0.5000, 0.5000], [0.4143, 0.2500, 0.7500], [0.0857, 0.2500, 0.7500], [0.3357, 0.0000, 0.5000], [0.6643, 0.0000, 0.5000], [0.9143, 0.7500, 0.7500], [0.5857, 0.7500, 0.7500], [0.3357, 0.5000, 0.0000], [0.6643, 0.5000, 0.0000], [0.9143, 0.2500, 0.2500], [0.5857, 0.2500, 0.2500], [0.0000, 0.4142, 0.0000], [0.0000, 0.5858, 0.0000], [0.2500, 0.3358, 0.2500], [0.2500, 0.1642, 0.2500], [0.0000, 0.9142, 0.5000], [0.0000, 0.0858, 0.5000], [0.2500, 0.8358, 0.7500], [0.2500, 0.6642, 0.7500], [0.5000, 0.4142, 0.5000], [0.5000, 0.5858, 0.5000], [0.7500, 0.3358, 0.7500], [0.7500, 0.1642, 0.7500], [0.5000, 0.9142, 0.0000], [0.5000, 0.0858, 0.0000], [0.7500, 0.8358, 0.2500], [0.7500, 0.6642, 0.2500]],
  "dos_at_fermi_per_ev_cell": 20.9,
  "crystal_system": "orthorhombic",
  "energy_ev_per_cell": -148.6,
  "spacegroup": "Fddd"
}

10.
{
  "formula": "HfPaRu",
  "functional": "PBE",
  "state": "optimized geometry",
  "cell": [[-0.4780, 2.4974, 1.8067], [-4.5696, -1.0372, 0.2246], [2.9608, -1.7438, 3.1938]],
  "species": ["Ru", "Pa", "Hf"],
  "frac_coords": [[0.3561, 0.6667, 0.3333], [0.6305, 0.3333, 0.6667], [0.0134, 0.0000, 0.0000]],
  "dos_at_fermi_per_ev_cell": 3.6,
  "crystal_system": "trigonal",
  "spacegroup": "P3m1",
  "de_polymorph_ev_per_fu": 0.64
}

11.
{
  "formula": "BaPd2Pt3",
  "functional": "PBE",
  "state": "optimized geometry",
  "cell": [[5.4021, 0.0000, 0.0000], [0.0000, 6.7630, -1.7736], [0.0000, 0.5578, 6.9694]],
  "species": ["Ba", "Ba", "Pd", "Pd", "Pd", "Pd", "Pt", "Pt", "Pt", "Pt", "Pt", "Pt"],
  "frac_coords": [[0.2500, 0.3112, 0.3112], [0.7500, 0.6888, 0.6888], [0.5000, 0.7948, 0.2052], [0.0000, 0.7948, 0.2052], [0.0000, 0.2052, 0.7948], [0.5000, 0.2052, 0.7948], [0.7500, 0.4748, 0.0468], [0.7500, 0.0468, 0.4748], [0.2500, 0.5252, 0.9532], [0.7500, 0.0970, 0.0970], [0.2500, 0.9030, 0.9030], [0.2500, 0.9532, 0.5252]],
  "dos_at_fermi_per_ev_cell": 16.4,
  "crystal_system": "orthorhombic",
  "energy_ev_per_cell": -64.2,
  "spacegroup": "Cmcm"
}

12.
{
  "formula": "PaCu6Pt6",
  "functional": "PBE",
  "state": "optimized geometry",
  "cell": [[-4.2453, 3.9716, 3.2292], [4.2591, 4.4898, -2.4342], [-4.5891, -4.0106, -2.6608]],
  "species": ["Pa", "Cu", "Cu", "Cu", "Cu", "Cu", "Cu", "Pt", "Pt", "Pt", "Pt", "Pt", "Pt"],
  "frac_coords": [[0.0000, 0.0000, 0.0000], [0.5000, 0.5000, 0.5000], [0.5000, 0.0000, 0.0000], [0.0000, 0.5000, 0.0000], [0.0000, 0.0000, 0.5000], [0.7563, 0.5000, 0.2563], [0.2437, 0.5000, 0.7437], [0.6669, 0.6669, 0.0000], [0.3331, 0.3331, 0.0000], [0.3420, 0.0000, 0.3420], [0.6580, 0.0000, 0.6580], [0.1814, 0.6814, 0.5000], [0.8186, 0.3186, 0.5000]],
  "dos_at_fermi_per_ev_cell": 5.9,
  "crystal_system": "orthorhombic",
  "energy_ev_per_cell": -75.4,
  "spacegroup": "Immm"
}